Record 1
Material: Th8PC4N3
Method: DFT, PBE-GGA
State: relaxed

Cell: 7.609 7.600 7.609 Å, 120.04 120.00 90.00°
Fractional positions:
Th 0.740 0.758 0.999
Th 0.259 0.758 0.518
Th 0.260 0.242 0.001
Th 0.741 0.242 0.482
Th 0.750 0.751 0.501
Th 0.741 0.242 0.001
Th 0.259 0.758 0.999
Th 0.250 0.249 0.499
N 0.000 0.500 0.500
N 0.500 0.500 0.000
N 0.500 0.500 0.500
P 0.000 0.500 0.000
C 0.000 0.000 0.500
C 0.500 0.000 0.500
C 0.000 0.000 0.000
C 0.500 0.000 0.000

The total energy comes out at -8.78 eV per atom. As for the total magnetic moment: 0.000 μB per atom.


Record 2
Material: LuPuAlHg
Method: DFT, PBE-GGA
State: relaxed

Cell: 5.174 5.174 5.174 Å, 60.00 60.00 60.00°
Last column: magnetic moment on the atom in μB.
Fractional positions:
Lu 0.500 0.500 0.500  0.18
Hg 0.750 0.750 0.750  0.04
Pu 0.000 0.000 0.000  5.40
Al 0.250 0.250 0.250  -0.03

The total energy comes out at -5.93 eV per atom. As for the total magnetic moment: 1.499 μB per atom. Its formation energy is -0.203 eV/atom.


Record 3
Material: ZrAl2P
Method: DFT, PBE-GGA
State: relaxed

Cell: 7.420 7.420 5.876 Å, 50.85 50.85 90.00°
Fractional positions:
P 0.500 0.500 0.000
P 0.250 0.750 0.500
Al 0.375 0.427 0.750
Al 0.875 0.823 0.750
Al 0.573 0.125 0.250
Al 0.177 0.625 0.250
Zr 0.000 0.000 0.000
Zr 0.750 0.250 0.500

The total energy comes out at -5.62 eV per atom. As for the total magnetic moment: 0.000 μB per atom. Its formation energy is -0.258 eV/atom.